Record 1
DFT (PBE) results for a relaxed structure of CsK2PbAu.

```
data_CsK2PbAu
_symmetry_space_group_name_H-M 'P 1'
_symmetry_Int_Tables_number 1
_cell_length_a 6.7914
_cell_length_b 6.7914
_cell_length_c 5.6453
_cell_angle_alpha 90.00
_cell_angle_beta 90.00
_cell_angle_gamma 90.00
loop_
_symmetry_equiv_pos_as_xyz
'x,y,z'
loop_
_atom_site_label
_atom_site_type_symbol
_atom_site_fract_x
_atom_site_fract_y
_atom_site_fract_z
Cs1 Cs 0.0000 0.0000 0.0000
K1 K 0.0000 0.5000 0.5000
K2 K 0.5000 0.0000 0.5000
Pb1 Pb 0.5000 0.5000 0.5000
Au1 Au 0.5000 0.5000 0.0000
```

Output
The crystal system is tetragonal. The uncorrected energy comes out at -2.0288 eV/atom. The value obtained for the total magnetization is 0.0000 μB/atom. As for the space-group type: P4/mmm, No. 123.

***

Record 2
DFT (PBE) results for a relaxed structure of TbZnSn.

```
data_TbZnSn
_symmetry_space_group_name_H-M 'P 1'
_symmetry_Int_Tables_number 1
_cell_length_a 4.5687
_cell_length_b 4.5687
_cell_length_c 11.5359
_cell_angle_alpha 90.00
_cell_angle_beta 90.00
_cell_angle_gamma 120.00
loop_
_symmetry_equiv_pos_as_xyz
'x,y,z'
loop_
_atom_site_label
_atom_site_type_symbol
_atom_site_fract_x
_atom_site_fract_y
_atom_site_fract_z
Tb1 Tb 0.0000 0.0000 0.0000
Tb2 Tb 0.0000 0.0000 0.3323
Tb3 Tb 0.0000 0.0000 0.6677
Zn1 Zn 0.3333 0.6667 0.5000
Zn2 Zn 0.6667 0.3333 0.1238
Zn3 Zn 0.6667 0.3333 0.8762
Sn1 Sn 0.3333 0.6667 0.1815
Sn2 Sn 0.3333 0.6667 0.8185
Sn3 Sn 0.6667 0.3333 0.5000
```

Output
The crystal system is hexagonal. The uncorrected energy comes out at -3.8718 eV/atom. The value obtained for the total magnetization is 0.0000 μB/atom. As for the space-group type: P-6m2, No. 187.

***

Record 3
DFT (PBE) results for a relaxed structure of Ba6NaSr3.

```
data_Ba6NaSr3
_symmetry_space_group_name_H-M 'P 1'
_symmetry_Int_Tables_number 1
_cell_length_a 12.8167
_cell_length_b 14.9830
_cell_length_c 6.3299
_cell_angle_alpha 90.00
_cell_angle_beta 90.00
_cell_angle_gamma 90.00
loop_
_symmetry_equiv_pos_as_xyz
'x,y,z'
loop_
_atom_site_label
_atom_site_type_symbol
_atom_site_fract_x
_atom_site_fract_y
_atom_site_fract_z
Ba1 Ba 0.0378 0.2336 0.0000
Ba2 Ba 0.1671 0.0560 0.5000
Ba3 Ba 0.2136 0.3709 0.5000
Ba4 Ba 0.2864 0.8709 0.0000
Ba5 Ba 0.3329 0.5560 0.0000
Ba6 Ba 0.4622 0.7336 0.5000
Ba7 Ba 0.5378 0.2664 0.5000
Ba8 Ba 0.6671 0.4440 0.0000
Ba9 Ba 0.7136 0.1291 0.0000
Ba10 Ba 0.7864 0.6291 0.5000
Ba11 Ba 0.8329 0.9440 0.5000
Ba12 Ba 0.9622 0.7664 0.0000
Na1 Na 0.0000 0.0000 0.0000
Na2 Na 0.5000 0.5000 0.5000
Sr1 Sr 0.0000 0.5000 0.0000
Sr2 Sr 0.1391 0.6753 0.5000
Sr3 Sr 0.3609 0.1753 0.0000
Sr4 Sr 0.5000 0.0000 0.5000
Sr5 Sr 0.6391 0.8247 0.0000
Sr6 Sr 0.8609 0.3247 0.5000
```

Output
The crystal system is orthorhombic. The uncorrected energy comes out at -1.6908 eV/atom. The value obtained for the total magnetization is 0.0001 μB/atom. As for the space-group type: Pnnm, No. 58.

***

Record 4
DFT (PBE) results for a relaxed structure of Y4Sn2H.

```
data_Y4Sn2H
_symmetry_space_group_name_H-M 'P 1'
_symmetry_Int_Tables_number 1
_cell_length_a 8.9835
_cell_length_b 8.9835
_cell_length_c 8.9835
_cell_angle_alpha 150.54
_cell_angle_beta 150.54
_cell_angle_gamma 42.16
loop_
_symmetry_equiv_pos_as_xyz
'x,y,z'
loop_
_atom_site_label
_atom_site_type_symbol
_atom_site_fract_x
_atom_site_fract_y
_atom_site_fract_z
Y1 Y 0.0000 0.5000 0.5000
Y2 Y 0.1771 0.1771 0.0000
Y3 Y 0.5000 0.0000 0.5000
Y4 Y 0.8229 0.8229 0.0000
Sn1 Sn 0.3630 0.3630 0.0000
Sn2 Sn 0.6370 0.6370 0.0000
H1 H 0.0000 0.0000 0.0000
```

Output
The crystal system is tetragonal. The uncorrected energy comes out at -5.9604 eV/atom. The value obtained for the total magnetization is 0.1029 μB/atom. As for the space-group type: I4/mmm, No. 139.

***

Record 5
DFT (PBE) results for a relaxed structure of Pm3Y2Er.

```
data_Pm3Y2Er
_symmetry_space_group_name_H-M 'P 1'
_symmetry_Int_Tables_number 1
_cell_length_a 7.2511
_cell_length_b 7.2561
_cell_length_c 8.9592
_cell_angle_alpha 78.22
_cell_angle_beta 78.17
_cell_angle_gamma 60.12
loop_
_symmetry_equiv_pos_as_xyz
'x,y,z'
loop_
_atom_site_label
_atom_site_type_symbol
_atom_site_fract_x
_atom_site_fract_y
_atom_site_fract_z
Pm1 Pm 0.1380 0.1392 0.1661
Pm2 Pm 0.1379 0.6392 0.1683
Pm3 Pm 0.2503 0.7501 0.5008
Pm4 Pm 0.7497 0.2499 0.4992
Pm5 Pm 0.8621 0.3608 0.8317
Pm6 Pm 0.8620 0.8608 0.8339
Y1 Y 0.3624 0.3606 0.8335
Y2 Y 0.3633 0.8612 0.8311
Y3 Y 0.6367 0.1388 0.1689
Y4 Y 0.6376 0.6394 0.1665
Er1 Er 0.2506 0.2494 0.5007
Er2 Er 0.7494 0.7506 0.4993
```

Output
The crystal system is triclinic. The uncorrected energy comes out at -5.2855 eV/atom. The value obtained for the total magnetization is 0.0000 μB/atom. As for the space-group type: P-1, No. 2.

***

Record 6
DFT (PBE) results for a relaxed structure of Cu2Sb2As.

```
data_Cu2Sb2As
_symmetry_space_group_name_H-M 'P 1'
_symmetry_Int_Tables_number 1
_cell_length_a 7.0218
_cell_length_b 7.0218
_cell_length_c 3.9322
_cell_angle_alpha 90.00
_cell_angle_beta 90.00
_cell_angle_gamma 90.00
loop_
_symmetry_equiv_pos_as_xyz
'x,y,z'
loop_
_atom_site_label
_atom_site_type_symbol
_atom_site_fract_x
_atom_site_fract_y
_atom_site_fract_z
Cu1 Cu 0.1263 0.3737 0.0000
Cu2 Cu 0.3737 0.8737 0.0000
Cu3 Cu 0.6263 0.1263 0.0000
Cu4 Cu 0.8737 0.6263 0.0000
Sb1 Sb 0.1750 0.6750 0.5000
Sb2 Sb 0.3250 0.1750 0.5000
Sb3 Sb 0.6750 0.8250 0.5000
Sb4 Sb 0.8250 0.3250 0.5000
As1 As 0.0000 0.0000 0.0000
As2 As 0.5000 0.5000 0.0000
```

Output
The crystal system is tetragonal. The uncorrected energy comes out at -3.9786 eV/atom. The value obtained for the total magnetization is 0.0000 μB/atom. As for the space-group type: P4/mbm, No. 127.

***

Record 7
DFT (PBE) results for a relaxed structure of Ta2Ge2Au.

```
data_Ta2Ge2Au
_symmetry_space_group_name_H-M 'P 1'
_symmetry_Int_Tables_number 1
_cell_length_a 7.1068
_cell_length_b 7.1068
_cell_length_c 3.4537
_cell_angle_alpha 90.00
_cell_angle_beta 90.00
_cell_angle_gamma 90.00
loop_
_symmetry_equiv_pos_as_xyz
'x,y,z'
loop_
_atom_site_label
_atom_site_type_symbol
_atom_site_fract_x
_atom_site_fract_y
_atom_site_fract_z
Ta1 Ta 0.1463 0.3537 0.0000
Ta2 Ta 0.3537 0.8537 0.0000
Ta3 Ta 0.6463 0.1463 0.0000
Ta4 Ta 0.8537 0.6463 0.0000
Ge1 Ge 0.1462 0.6462 0.5000
Ge2 Ge 0.3538 0.1462 0.5000
Ge3 Ge 0.6462 0.8538 0.5000
Ge4 Ge 0.8538 0.3538 0.5000
Au1 Au 0.0000 0.0000 0.5000
Au2 Au 0.5000 0.5000 0.5000
```

Output
The crystal system is tetragonal. The uncorrected energy comes out at -7.1829 eV/atom. The value obtained for the total magnetization is 0.0000 μB/atom. As for the space-group type: P4/mbm, No. 127.

***

Record 8
DFT (PBE) results for a relaxed structure of Na3Zn2Sn2Sb4.

```
data_Na3Zn2Sn2Sb4
_symmetry_space_group_name_H-M 'P 1'
_symmetry_Int_Tables_number 1
_cell_length_a 4.4734
_cell_length_b 4.4734
_cell_length_c 18.5603
_cell_angle_alpha 90.00
_cell_angle_beta 90.00
_cell_angle_gamma 120.00
loop_
_symmetry_equiv_pos_as_xyz
'x,y,z'
loop_
_atom_site_label
_atom_site_type_symbol
_atom_site_fract_x
_atom_site_fract_y
_atom_site_fract_z
Na1 Na 0.0000 0.0000 0.0000
Na2 Na 0.0000 0.0000 0.2408
Na3 Na 0.0000 0.0000 0.7592
Zn1 Zn 0.3333 0.6667 0.1434
Zn2 Zn 0.6667 0.3333 0.8566
Sn1 Sn 0.3333 0.6667 0.5767
Sn2 Sn 0.6667 0.3333 0.4233
Sb1 Sb 0.3333 0.6667 0.3446
Sb2 Sb 0.3333 0.6667 0.8811
Sb3 Sb 0.6667 0.3333 0.1189
Sb4 Sb 0.6667 0.3333 0.6554
```

Output
The crystal system is trigonal. The uncorrected energy comes out at -3.0186 eV/atom. The value obtained for the total magnetization is 0.0000 μB/atom. As for the space-group type: P-3m1, No. 164.

***

Which value of uncorrected energy does entry 1 give?
-2.0288 eV/atom

***

Look up the uncorrected energy of the first one.
-2.0288 eV/atom

***

uncorrected energy of number 4 (Y4Sn2H)?
-5.9604 eV/atom